No. 1
# K2TmPuSe4

K2TmPuSe4 after structural relaxation (PBE, the Alexandria database).

```
8
Lattice="-1.2429 0.0917 -4.0398 4.0761 -5.9452 -1.3891 -7.3080 -2.5042 2.1916" Properties=species:S:1:pos:R:3 pbc="T T T"
Se -4.7093 -3.6126 1.3669
Tm 1.4166 -2.9267 -2.7144
K -1.6160 -4.2247 0.4013
Pu 0.0000 0.0000 0.0000
Se 1.4773 -4.8368 -0.5644
Se -1.1317 -1.8946 -1.9070
Se -3.3432 -6.4630 -1.3303
K -4.2755 -1.2062 -0.9241
```

Properties
**Calculated total energy**: -5.96 eV/atom
**Crystal system**: monoclinic
**Space group**: P2/m

---

No. 2
# ScTc2Os

ScTc2Os after structural relaxation (PBE, the Alexandria database).

```
8
Lattice="-4.9756 -3.6841 4.0399 -3.9665 -1.3272 -6.0955 -3.1446 -4.7159 -1.4097" Properties=species:S:1:pos:R:3 pbc="T T T"
Tc -4.6202 -3.8165 1.5960
Sc -5.7911 -4.2743 -4.2665
Sc -4.4711 -2.5056 -1.0278
Tc -5.5297 -5.3552 -1.5483
Os -6.2957 -5.4528 0.8012
Tc -3.6587 -2.2998 -3.8426
Tc -10.3649 -7.9827 -3.1358
Os 0.0000 0.0000 0.0000
```

Properties
**Calculated total energy**: -9.13 eV/atom
**Crystal system**: tetragonal
**E_form**: 42.7 kJ/mol of atoms
**Space group**: I-42d
**Energy above the lowest structure with this stoichiometry**: 501.1 meV/atom

---

No. 3
# HS

HS after structural relaxation (PBE, the Alexandria database).

```
12
Lattice="-0.0867 3.4363 -1.1184 -2.4056 1.6425 5.2329 8.4299 1.3373 3.4554" Properties=species:S:1:pos:R:3 pbc="T T T"
H -1.0341 0.7061 2.2494
H 0.3044 2.3313 1.2976
S -1.0913 2.4337 1.7206
S 2.8574 1.5956 4.6809
S 5.7959 2.7974 2.3042
H 1.4617 1.6981 5.1038
H 2.8001 3.3233 4.1520
S 2.1837 2.2244 0.8236
H 3.4833 2.0188 5.9325
S -0.4177 1.8049 5.5779
H 6.7126 3.3479 3.9243
S 4.3999 2.5692 7.5526
```

Properties
**Calculated total energy**: -3.58 eV/atom
**Crystal system**: orthorhombic
**Space group**: Pmmn
**Energy above the lowest structure with this stoichiometry**: 230.3 meV/atom

---

| no. | M_tot (μB/cell) |
| --- | --- |
| 1 | 5.0 |
| 2 | 0.0 |
| 3 | 0.0 |